Entry from Alexandria: a relaxed structure of Pt7Rh5 (PBE).

Cell: 6.188 6.188 8.772 Å, 114.90 114.90 36.83°
Fractional positions:
Pt 0.000 0.000 0.000
Pt 0.089 0.089 0.754
Pt 0.166 0.166 0.494
Pt 0.250 0.250 0.243
Pt 0.417 0.417 0.752
Pt 0.502 0.502 0.497
Pt 0.833 0.833 0.496
Rh 0.335 0.335 0.001
Rh 0.580 0.580 0.242
Rh 0.672 0.672 0.001
Rh 0.752 0.752 0.753
Rh 0.917 0.917 0.243

Values from the calculation:
* energy: -6.608 eV/atom
* symmetry: Cm, No. 8
* energy of formation: -0.021 eV/atom

Entry from Alexandria: a relaxed structure of Zn3Pd4 (PBE).

Cell: 7.340 7.340 7.340 Å, 33.71 33.71 33.71°
Fractional positions:
Zn 0.000 0.000 0.000
Zn 0.248 0.248 0.248
Zn 0.752 0.752 0.752
Pd 0.126 0.126 0.126
Pd 0.377 0.377 0.377
Pd 0.623 0.623 0.623
Pd 0.874 0.874 0.874

Values from the calculation:
* energy above the lowest structure with this stoichiometry: 7.0 kJ/mol of atoms
* energy: -3.943 eV/atom
* symmetry: R-3m, No. 166
* energy of formation: -0.430 eV/atom

Entry from Alexandria: a relaxed structure of MgBeHg2 (PBE).

Cell: 3.359 4.049 5.914 Å, 90.00 103.85 90.00°
Fractional positions:
Mg 0.000 0.000 0.000
Be 0.500 0.000 0.500
Hg 0.395 0.500 0.735
Hg 0.605 0.500 0.265

Values from the calculation:
* energy above the lowest structure with this stoichiometry: 4.6 kJ/mol of atoms
* energy: -1.275 eV/atom
* symmetry: P2/m, No. 10
* energy of formation: 0.206 eV/atom

Entry from Alexandria: a relaxed structure of ScB4Mo (PBE).

Cell: 4.546 4.546 3.095 Å, 109.81 109.81 71.54°
Fractional positions:
Sc 0.000 0.000 0.000
B 0.084 0.413 0.748
B 0.413 0.084 0.748
B 0.587 0.916 0.252
B 0.916 0.587 0.252
Mo 0.500 0.500 0.500

Values from the calculation:
* energy: -8.021 eV/atom
* symmetry: C2/m, No. 12
* energy of formation: -0.709 eV/atom

Entry from Alexandria: a relaxed structure of HfBe2S (PBE).

Cell: 5.338 5.338 5.338 Å, 102.51 102.51 124.53°
Fractional positions:
Hf 0.000 0.000 0.000
Hf 0.750 0.250 0.500
Be 0.185 0.625 0.060
Be 0.375 0.435 0.560
Be 0.565 0.125 0.940
Be 0.875 0.815 0.440
S 0.250 0.750 0.500
S 0.500 0.500 0.000

Values from the calculation:
* formation energy (no corrections): -62 meV per atom
* energy: -5.445 eV/atom
* symmetry: I-42d, No. 122

Entry from Alexandria: a relaxed structure of Ce3Th2Sb3 (PBE).

Cell: 9.351 9.351 6.480 Å, 90.00 90.00 120.00°
Fractional positions:
Ce 0.000 0.265 0.250
Ce 0.000 0.735 0.750
Ce 0.265 0.000 0.250
Ce 0.265 0.265 0.750
Ce 0.735 0.000 0.750
Ce 0.735 0.735 0.250
Th 0.333 0.667 0.000
Th 0.333 0.667 0.500
Th 0.667 0.333 0.000
Th 0.667 0.333 0.500
Sb 0.000 0.379 0.750
Sb 0.000 0.621 0.250
Sb 0.379 0.000 0.750
Sb 0.379 0.379 0.250
Sb 0.621 0.000 0.250
Sb 0.621 0.621 0.750

Values from the calculation:
* formation energy (no corrections): -755 meV per atom
* energy: -6.381 eV/atom
* symmetry: P6_3/mcm, No. 193

Entry from Alexandria: a relaxed structure of La5Rh (PBE).

Cell: 3.679 3.679 14.395 Å, 90.00 90.00 90.00°
Fractional positions:
La 0.000 0.000 0.000
La 0.000 0.000 0.384
La 0.000 0.000 0.616
La 0.500 0.500 0.181
La 0.500 0.500 0.819
Rh 0.500 0.500 0.500

Values from the calculation:
* energy above the lowest structure with this stoichiometry: 1.9 kJ/mol of atoms
* energy: -5.546 eV/atom
* symmetry: P4/mmm, No. 123
* energy of formation: -0.214 eV/atom

Entry from Alexandria: a relaxed structure of YHo12Er6 (PBE).

Cell: 8.463 8.463 8.463 Å, 88.23 88.23 88.23°
Fractional positions:
Y 0.000 0.000 0.000
Ho 0.010 0.207 0.357
Ho 0.207 0.357 0.010
Ho 0.226 0.457 0.565
Ho 0.357 0.010 0.207
Ho 0.435 0.774 0.543
Ho 0.457 0.565 0.226
Ho 0.543 0.435 0.774
Ho 0.565 0.226 0.457
Ho 0.643 0.990 0.793
Ho 0.774 0.543 0.435
Ho 0.793 0.643 0.990
Ho 0.990 0.793 0.643
Er 0.093 0.690 0.257
Er 0.257 0.093 0.690
Er 0.310 0.743 0.907
Er 0.690 0.257 0.093
Er 0.743 0.907 0.310
Er 0.907 0.310 0.743

Values from the calculation:
* energy above the lowest structure with this stoichiometry: 0.0 kJ/mol of atoms
* energy: -4.511 eV/atom
* symmetry: R-3, No. 148
* energy of formation: 0.161 eV/atom

Volume (A^3/atom)
15.0; 15.5; 19.5; 9.2; 13.9; 30.7; 32.5; 31.9
Total magnetization (Bohr magnetons per cell)
0.0; 0.0; 0.0; 0.0; 0.0; 5.5; 0.0; 0.0